1.
Material: CdPN2
Method: DFT, PBE
State: relaxed

Unit cell a=4.0436 b=4.0436 c=4.0436 alpha=60.00 beta=60.00 gamma=60.00
Closest atoms and distances in Å follow each position.
Sites, in units of the cell vectors:
N  0.2500  0.2500  0.2500  4 Cd 2.48, 4 P 2.48
N  0.7500  0.7500  0.7500  4 P 2.48, 4 Cd 2.48
P  0.0000  0.0000  0.0000  8 N 2.48
Cd  0.5000  0.5000  0.5000  8 N 2.48

Results
**SG**: Fm-3m (225)
**Energy relative to the lowest polymorph listed for this composition**: 1622 meV per atom

***

2.
Material: CdP3N
Method: DFT, PBE
State: relaxed

Unit cell a=4.2116 b=4.2116 c=4.2116 alpha=90.00 beta=90.00 gamma=90.00
Closest atoms and distances in Å follow each position.
Sites, in units of the cell vectors:
P  0.5000  0.0000  0.0000  2 N 2.11
P  0.0000  0.5000  0.0000  2 N 2.11
P  0.0000  0.0000  0.5000  2 N 2.11
N  0.0000  0.0000  0.0000  6 P 2.11
Cd  0.5000  0.5000  0.5000  12 P 2.98

Results
**SG**: Pm-3m (221)
**Energy relative to the lowest polymorph listed for this composition**: 0 meV per atom

***

3.
Material: CdPN2
Method: DFT, PBE
State: relaxed

Unit cell a=5.8754 b=5.8754 c=5.8754 alpha=36.37 beta=36.37 gamma=36.37
Closest atoms and distances in Å follow each position.
Sites, in units of the cell vectors:
N  0.9051  0.9051  0.9051  1 P 1.56
N  0.0949  0.0949  0.0949  1 P 1.56
Cd  0.5000  0.5000  0.5000  6 N 2.42
P  0.0000  0.0000  0.0000  2 N 1.56

Results
**SG**: R-3m (166)
**Energy relative to the lowest polymorph listed for this composition**: 447 meV per atom

***

4.
Material: CdPN2
Method: DFT, PBE
State: relaxed

Unit cell a=5.1317 b=5.1317 c=5.2287 alpha=60.61 beta=60.61 gamma=90.00
Closest atoms and distances in Å follow each position.
Sites, in units of the cell vectors:
Cd  0.7500  0.2500  0.5000  4 N 2.66
Cd  0.0000  0.0000  0.0000  4 N 2.66
N  0.2915  0.6250  0.2500  2 P 1.65
N  0.4585  0.1250  0.2500  2 P 1.65
N  0.3750  0.5415  0.7500  2 P 1.65
N  0.8750  0.7085  0.7500  2 P 1.65
P  0.5000  0.5000  0.0000  4 N 1.65
P  0.2500  0.7500  0.5000  4 N 1.65

Results
**SG**: I-42d (122)
**Energy relative to the lowest polymorph listed for this composition**: 0 meV per atom

***

5.
Material: Pa3CdP4N12
Method: DFT, PBE
State: relaxed

Unit cell a=6.9161 b=6.9161 c=6.9161 alpha=103.71 beta=103.71 gamma=103.71
Closest atoms and distances in Å follow each position.
Sites, in units of the cell vectors:
N  0.5000  0.1058  0.8942  1 P 1.60
N  0.1973  0.3661  0.9763  1 P 1.58
N  0.5000  0.3545  0.6455  1 P 1.58
N  0.6455  0.5000  0.3545  1 P 1.58
N  0.6339  0.8027  0.0237  1 P 1.58
N  0.8027  0.0237  0.6339  1 P 1.58
N  0.3545  0.6455  0.5000  1 P 1.58
N  0.0237  0.6339  0.8027  1 P 1.58
N  0.9763  0.1973  0.3661  1 P 1.58
N  0.8942  0.5000  0.1058  1 P 1.60
N  0.1058  0.8942  0.5000  1 P 1.60
N  0.3661  0.9763  0.1973  1 P 1.58
Pa  0.0000  0.5396  0.4604  6 N 2.26-2.32
Pa  0.5396  0.4604  0.0000  6 N 2.26-2.32
Pa  0.4604  0.0000  0.5396  6 N 2.26-2.32
P  0.5000  0.9591  0.0409  3 N 1.58-1.60
P  0.0409  0.5000  0.9591  3 N 1.58-1.60
P  0.9591  0.0409  0.5000  3 N 1.58-1.60
P  0.5000  0.5000  0.5000  3 N 1.58
Cd  0.0000  0.0000  0.0000  6 N 2.64

Results
**SG**: R32 (155)

***

6.
Material: PaCd2P2N6
Method: DFT, PBE
State: relaxed

Unit cell a=5.5972 b=5.5972 c=6.3036 alpha=90.00 beta=90.00 gamma=120.00
Closest atoms and distances in Å follow each position.
Sites, in units of the cell vectors:
N  0.0696  0.3654  0.2105  1 P 1.61
N  0.7043  0.0696  0.7895  1 P 1.61
N  0.3654  0.2957  0.7895  1 P 1.61
N  0.9304  0.6346  0.7895  1 P 1.61
N  0.6346  0.7043  0.2105  1 P 1.61
N  0.2957  0.9304  0.2105  1 P 1.61
Pa  0.0000  0.0000  0.0000  6 N 2.30
P  0.3333  0.6667  0.2436  3 N 1.61
P  0.6667  0.3333  0.7564  3 N 1.61
Cd  0.6667  0.3333  0.3015  3 N 2.25
Cd  0.3333  0.6667  0.6985  3 N 2.25

Results
**SG**: P-3 (147)

***

7.
Material: PaCdP2N6
Method: DFT, PBE
State: relaxed

Unit cell a=5.1752 b=7.0022 c=7.0022 alpha=87.14 beta=80.87 gamma=80.87
Closest atoms and distances in Å follow each position.
Sites, in units of the cell vectors:
N  0.9492  0.7006  0.6146  2 P 1.68-1.70
N  0.1375  0.5920  0.1597  1 P 1.62
N  0.6668  0.7609  0.9840  1 P 1.62
N  0.8625  0.4080  0.8403  1 P 1.62
N  0.1668  0.9840  0.7609  1 P 1.62
N  0.0508  0.2994  0.3854  2 P 1.68-1.70
N  0.4492  0.6146  0.7006  2 P 1.68-1.70
N  0.6375  0.1597  0.5920  1 P 1.62
N  0.3332  0.2391  0.0160  1 P 1.62
N  0.8332  0.0160  0.2391  1 P 1.62
N  0.5508  0.3854  0.2994  2 P 1.68-1.70
N  0.3625  0.8403  0.4080  1 P 1.62
P  0.7753  0.2049  0.3736  4 N 1.62-1.70
P  0.2753  0.3736  0.2049  4 N 1.62-1.70
P  0.7247  0.6264  0.7951  4 N 1.62-1.70
P  0.2247  0.7951  0.6264  4 N 1.62-1.70
Cd  0.7500  0.0904  0.9096  6 N 2.27-2.43
Cd  0.2500  0.9096  0.0904  6 N 2.27-2.43
Pa  0.7500  0.6993  0.3007  4 N 2.13-2.33
Pa  0.2500  0.3007  0.6993  4 N 2.13-2.33

Results
**SG**: C2/c (15)

***

8.
Material: PaCdPN4
Method: DFT, PBE
State: relaxed

Unit cell a=6.0036 b=6.2904 c=6.2904 alpha=69.07 beta=61.50 gamma=61.50
Closest atoms and distances in Å follow each position.
Sites, in units of the cell vectors:
P  0.6277  0.6223  0.1223  4 N 1.67-1.71
P  0.3723  0.3777  0.8777  4 N 1.67-1.71
N  0.2551  0.3060  0.1838  1 P 1.67
N  0.2535  0.2620  0.7620  1 P 1.71
N  0.7449  0.3162  0.1940  1 P 1.67
N  0.7449  0.6940  0.8162  1 P 1.67
N  0.7225  0.2620  0.7620  1 P 1.71
N  0.2775  0.7380  0.2380  1 P 1.71
N  0.7465  0.7380  0.2380  1 P 1.71
N  0.2551  0.6838  0.8060  1 P 1.67
Cd  0.0000  0.0000  0.5000  2 N 2.22
Cd  0.5000  0.0000  0.5000  2 N 2.22
Pa  0.0000  0.5000  0.5000  6 N 2.20-2.39
Pa  0.0000  0.0000  0.0000  6 N 2.20-2.39

Results
**SG**: Imma (74)

***

9.
Material: PaCdPN
Method: DFT, PBE
State: relaxed

Unit cell a=3.9152 b=3.9152 c=11.8297 alpha=80.47 beta=80.47 gamma=60.00
Closest atoms and distances in Å follow each position.
Sites, in units of the cell vectors:
P  0.0910  0.0910  0.7271  3 Cd 2.73, 3 Pa 2.84
P  0.9090  0.9090  0.2729  3 Cd 2.73, 3 Pa 2.84
Cd  0.1985  0.1985  0.4045  3 P 2.73
Cd  0.8015  0.8015  0.5955  3 P 2.73
Pa  0.6251  0.6251  0.1248  4 N 2.27-2.35
Pa  0.3749  0.3749  0.8752  4 N 2.27-2.35
N  0.6903  0.6903  0.9292  4 Pa 2.27-2.35
N  0.3097  0.3097  0.0708  4 Pa 2.27-2.35

Results
**SG**: R-3m (166)

***

10.
Material: Pa2CdPN6
Method: DFT, PBE
State: relaxed

Unit cell a=4.9656 b=5.1756 c=5.1756 alpha=90.00 beta=90.00 gamma=90.00
Closest atoms and distances in Å follow each position.
Sites, in units of the cell vectors:
N  0.7343  0.7791  0.2209  1 P 1.76
N  0.1079  0.5000  0.5000  1 Cd 2.13
N  0.7343  0.2209  0.2209  1 P 1.76
N  0.7343  0.2209  0.7791  1 P 1.76
N  0.2586  0.0000  0.0000  1 P 1.67
N  0.7343  0.7791  0.7791  1 P 1.76
P  0.5945  0.0000  0.0000  5 N 1.67-1.76
Pa  0.0060  0.0000  0.5000  4 N 2.28
Pa  0.0060  0.5000  0.0000  4 N 2.28
Cd  0.5365  0.5000  0.5000  5 N 2.13-2.27

Results
**SG**: P4mm (99)

***

11.
Material: Cd2PPdN
Method: DFT, PBE
State: relaxed

Unit cell a=5.3270 b=3.2939 c=5.3270 alpha=90.00 beta=90.00 gamma=90.00
Closest atoms and distances in Å follow each position.
Sites, in units of the cell vectors:
N  0.0000  0.5000  0.0000  2 P 1.65
Cd  0.0000  0.0000  0.5000  2 P 2.66
Cd  0.5000  0.0000  0.0000  2 P 2.66
Pd  0.5000  0.5000  0.5000  8 Cd 3.13, 2 Pd 3.29
P  0.0000  0.0000  0.0000  2 N 1.65

Results
**SG**: P4/mmm (123)

***

12.
Material: Pm2CdP2N6
Method: DFT, PBE
State: relaxed

Unit cell a=5.7489 b=5.7489 c=6.2746 alpha=90.00 beta=90.00 gamma=120.00
Closest atoms and distances in Å follow each position.
Sites, in units of the cell vectors:
P  0.6667  0.3333  0.2075  3 N 1.59
P  0.3333  0.6667  0.7925  3 N 1.59
N  0.6962  0.0736  0.2300  1 P 1.59
N  0.3775  0.3038  0.2300  1 P 1.59
N  0.9264  0.6225  0.2300  1 P 1.59
N  0.6225  0.6962  0.7700  1 P 1.59
N  0.0736  0.3775  0.7700  1 P 1.59
N  0.3038  0.9264  0.7700  1 P 1.59
Cd  0.0000  0.0000  0.0000  6 N 2.46
Pm  0.3333  0.6667  0.3323  3 N 2.31
Pm  0.6667  0.3333  0.6677  3 N 2.31

Results
**SG**: P-3 (147)

***

13.
Material: CdP2PtN
Method: DFT, PBE
State: relaxed

Unit cell a=5.0890 b=3.6454 c=5.0890 alpha=90.00 beta=90.00 gamma=90.00
Closest atoms and distances in Å follow each position.
Sites, in units of the cell vectors:
N  0.0000  0.5000  0.0000  2 Pt 1.82
Cd  0.5000  0.5000  0.5000  8 P 3.13
P  0.5000  0.0000  0.0000  2 Pt 2.54
P  0.0000  0.0000  0.5000  2 Pt 2.54
Pt  0.0000  0.0000  0.0000  2 N 1.82

Results
**SG**: P4/mmm (123)

***

What did we get for uncorrected energy? Answer: -4.01; -4.17; -5.18; -5.63; -8.18; -6.86; -7.59; -7.44; -7.05; -8.00; -3.67; -6.90; -4.43 eV/atom, in the order shown.